(1)
Ba2ZrSb | PBE-GGA | optimized geometry

Unit cell a=6.316 b=6.316 c=6.316 alpha=132.38 beta=132.38 gamma=69.63
Element x y z (fractional)
Ba 0.000 0.000 0.000
Ba 0.750 0.250 0.500
Zr 0.500 0.500 0.000
Sb 0.250 0.750 0.500

Values from the calculation:
Space-group type ... I-4m2
E_form (uncorrected) ... 70 meV/atom
DOS at the Fermi energy ... 5.40 states/eV per cell
Magnetization ... 0.17 μB per atom

(2)
Ac8Ir3Se4N | PBE-GGA | optimized geometry

Unit cell a=8.593 b=8.593 c=9.020 alpha=118.45 beta=118.45 gamma=59.97
Element x y z (fractional)
Ac 0.232 0.750 0.713
Ac 0.233 0.233 0.714
Ac 0.250 0.768 0.287
Ac 0.258 0.258 0.273
Ac 0.742 0.742 0.727
Ac 0.750 0.232 0.713
Ac 0.767 0.767 0.286
Ac 0.768 0.250 0.287
Ir 0.000 0.500 0.500
Ir 0.500 0.000 0.500
Ir 0.500 0.500 0.500
Se 0.000 0.000 0.000
Se 0.000 0.500 0.000
Se 0.500 0.000 0.000
Se 0.500 0.500 0.000
N 0.000 0.000 0.500

Values from the calculation:
Space-group type ... C2/m
E_form (uncorrected) ... -1296 meV/atom
DOS at the Fermi energy ... 8.25 states/eV per cell
Magnetization ... 0.00 μB per atom

(3)
BaSmAg2O4 | PBE-GGA | optimized geometry

Unit cell a=5.664 b=5.664 c=5.664 alpha=115.29 beta=113.56 gamma=99.97
Element x y z (fractional)
Ba 0.000 0.000 0.000
Sm 0.500 0.500 0.000
Ag 0.281 0.781 0.500
Ag 0.719 0.219 0.500
O 0.107 0.099 0.592
O 0.494 0.901 0.008
O 0.506 0.515 0.408
O 0.893 0.485 0.992

Values from the calculation:
Space-group type ... I222
E_form (uncorrected) ... -1684 meV/atom
DOS at the Fermi energy ... 2.49 states/eV per cell
Magnetization ... 0.00 μB per atom

(4)
BaCoC2 | PBE-GGA | optimized geometry

Unit cell a=6.335 b=6.335 c=6.335 alpha=134.12 beta=134.12 gamma=66.90
Element x y z (fractional)
Ba 0.375 0.625 0.750
Ba 0.625 0.375 0.250
Co 0.125 0.875 0.250
Co 0.875 0.125 0.750
C 0.000 0.000 0.000
C 0.000 0.000 0.500
C 0.000 0.500 0.000
C 0.500 0.000 0.500

Values from the calculation:
Space-group type ... I4_1/amd
DOS at the Fermi energy ... 4.16 states/eV per cell
Final energy ... -50.4 eV/cell
Magnetization ... 0.23 μB per atom

(5)
Rb3PuCl8 | PBE-GGA | optimized geometry

Unit cell a=7.385 b=7.385 c=7.385 alpha=90.00 beta=90.00 gamma=90.00
Element x y z (fractional)
Rb 0.000 0.000 0.500
Rb 0.000 0.500 0.000
Rb 0.500 0.000 0.000
Pu 0.500 0.500 0.500
Cl 0.285 0.285 0.285
Cl 0.285 0.285 0.715
Cl 0.285 0.715 0.285
Cl 0.285 0.715 0.715
Cl 0.715 0.285 0.285
Cl 0.715 0.285 0.715
Cl 0.715 0.715 0.285
Cl 0.715 0.715 0.715

Values from the calculation:
Space-group type ... Pm-3m
E_form (uncorrected) ... -1624 meV/atom
DOS at the Fermi energy ... 8.22 states/eV per cell
Relative energy among the computed polymorphs ... 7 meV/atom
Magnetization ... 0.25 μB per atom

(6)
PaTlTe2 | PBE-GGA | optimized geometry

Unit cell a=9.237 b=9.237 c=9.237 alpha=26.39 beta=26.39 gamma=26.39
Element x y z (fractional)
Pa 0.000 0.000 0.000
Tl 0.834 0.834 0.834
Te 0.406 0.406 0.406
Te 0.594 0.594 0.594

Values from the calculation:
Space-group type ... R3m
E_form (uncorrected) ... -600 meV/atom
DOS at the Fermi energy ... 5.14 states/eV per cell
Magnetization ... 0.44 μB per atom

(7)
PrAl2Zn9 | PBE-GGA | optimized geometry

Unit cell a=8.311 b=8.311 c=8.311 alpha=100.39 beta=100.39 gamma=129.74
Element x y z (fractional)
Pr 0.375 0.625 0.750
Pr 0.625 0.375 0.250
Al 0.000 0.000 0.000
Al 0.000 0.000 0.500
Al 0.000 0.500 0.000
Al 0.500 0.000 0.500
Zn 0.125 0.875 0.250
Zn 0.130 0.553 0.334
Zn 0.130 0.795 0.577
Zn 0.205 0.282 0.334
Zn 0.205 0.870 0.923
Zn 0.282 0.205 0.834
Zn 0.282 0.447 0.077
Zn 0.447 0.282 0.577
Zn 0.447 0.870 0.166
Zn 0.553 0.130 0.834
Zn 0.553 0.718 0.423
Zn 0.718 0.553 0.923
Zn 0.718 0.795 0.166
Zn 0.795 0.130 0.077
Zn 0.795 0.718 0.666
Zn 0.870 0.205 0.423
Zn 0.870 0.447 0.666
Zn 0.875 0.125 0.750

Values from the calculation:
Space-group type ... I4_1/amd
DOS at the Fermi energy ... 7.03 states/eV per cell
Relative energy among the computed polymorphs ... 0 meV/atom
Magnetization ... 0.00 μB per atom

(8)
K3As5O12 | PBE-GGA | optimized geometry

Unit cell a=11.385 b=11.385 c=11.385 alpha=109.47 beta=109.47 gamma=109.47
Element x y z (fractional)
K 0.125 0.250 0.375
K 0.125 0.375 0.750
K 0.250 0.375 0.125
K 0.250 0.875 0.625
K 0.375 0.125 0.250
K 0.375 0.750 0.125
K 0.625 0.250 0.875
K 0.625 0.875 0.750
K 0.750 0.125 0.375
K 0.750 0.625 0.875
K 0.875 0.625 0.250
K 0.875 0.750 0.625
As 0.000 0.000 0.000
As 0.000 0.000 0.500
As 0.000 0.500 0.000
As 0.000 0.500 0.500
As 0.125 0.750 0.875
As 0.125 0.875 0.250
As 0.250 0.125 0.875
As 0.250 0.625 0.375
As 0.375 0.250 0.625
As 0.375 0.625 0.750
As 0.500 0.000 0.000
As 0.500 0.000 0.500
As 0.500 0.500 0.000
As 0.500 0.500 0.500
As 0.625 0.375 0.250
As 0.625 0.750 0.375
As 0.750 0.375 0.625
As 0.750 0.875 0.125
As 0.875 0.125 0.750
As 0.875 0.250 0.125
O 0.001 0.699 0.110
O 0.001 0.802 0.891
O 0.089 0.698 0.699
O 0.089 0.891 0.390
O 0.109 0.610 0.911
O 0.109 0.999 0.198
O 0.110 0.001 0.699
O 0.110 0.609 0.411
O 0.198 0.109 0.999
O 0.198 0.589 0.199
O 0.199 0.198 0.589
O 0.199 0.501 0.610
O 0.301 0.890 0.999
O 0.301 0.911 0.302
O 0.302 0.301 0.911
O 0.302 0.501 0.391
O 0.390 0.089 0.891
O 0.390 0.801 0.499
O 0.391 0.302 0.501
O 0.391 0.589 0.890
O 0.411 0.110 0.609
O 0.411 0.801 0.802
O 0.499 0.390 0.801
O 0.499 0.609 0.698
O 0.501 0.391 0.302
O 0.501 0.610 0.199
O 0.589 0.199 0.198
O 0.589 0.890 0.391
O 0.609 0.411 0.110
O 0.609 0.698 0.499
O 0.610 0.199 0.501
O 0.610 0.911 0.109
O 0.698 0.499 0.609
O 0.698 0.699 0.089
O 0.699 0.089 0.698
O 0.699 0.110 0.001
O 0.801 0.499 0.390
O 0.801 0.802 0.411
O 0.802 0.411 0.801
O 0.802 0.891 0.001
O 0.890 0.391 0.589
O 0.890 0.999 0.301
O 0.891 0.001 0.802
O 0.891 0.390 0.089
O 0.911 0.109 0.610
O 0.911 0.302 0.301
O 0.999 0.198 0.109
O 0.999 0.301 0.890

Values from the calculation:
Space-group type ... Ia-3d
E_form (uncorrected) ... -1306 meV/atom
Magnetization ... 0.00 μB per atom